No. 1
# ScZn2Fe PBE-GGA optimized geometry
data_ScZn2Fe
_space_group_name_H-M_alt 'I -4 m 2'
_space_group_IT_number 119
_space_group_name_Hall 'I -4 -2'
_cell_length_a 3.9509
_cell_length_b 3.9509
_cell_length_c 7.8953
_cell_angle_alpha 90.00
_cell_angle_beta 90.00
_cell_angle_gamma 90.00
loop_
_atom_site_label
_atom_site_type_symbol
_atom_site_fract_x
_atom_site_fract_y
_atom_site_fract_z
Sc1 Sc 0.0000 0.0000 0.0000
Zn1 Zn 0.0000 0.0000 0.5000
Zn2 Zn 0.0000 0.5000 0.7500
Fe1 Fe 0.0000 0.5000 0.2500
# DFT formation energy: -0.0511 eV per atom
# total magnetization: 3.15 Bohr magnetons per cell

No. 2
# Gd2BRh4 PBE-GGA optimized geometry
data_Gd2BRh4
_space_group_name_H-M_alt 'I 4/m m m'
_space_group_IT_number 139
_space_group_name_Hall '-I 4 2'
_cell_length_a 4.2161
_cell_length_b 4.2161
_cell_length_c 13.9448
_cell_angle_alpha 90.00
_cell_angle_beta 90.00
_cell_angle_gamma 90.00
loop_
_atom_site_label
_atom_site_type_symbol
_atom_site_fract_x
_atom_site_fract_y
_atom_site_fract_z
Gd1 Gd 0.0000 0.0000 0.1519
B1 B 0.0000 0.0000 0.5000
Rh1 Rh 0.0000 0.0000 0.3530
Rh2 Rh 0.0000 0.5000 0.0000
# DFT formation energy: -0.6148 eV per atom
# total magnetization: 27.90 Bohr magnetons per cell

No. 3
# HoScAlHg PBE-GGA optimized geometry
data_HoScAlHg
_space_group_name_H-M_alt 'F -4 3 m'
_space_group_IT_number 216
_space_group_name_Hall 'F -4 2 3'
_cell_length_a 7.1351
_cell_length_b 7.1351
_cell_length_c 7.1351
_cell_angle_alpha 90.00
_cell_angle_beta 90.00
_cell_angle_gamma 90.00
loop_
_atom_site_label
_atom_site_type_symbol
_atom_site_fract_x
_atom_site_fract_y
_atom_site_fract_z
Ho1 Ho 0.0000 0.0000 0.0000
Sc1 Sc 0.0000 0.0000 0.5000
Al1 Al 0.2500 0.2500 0.2500
Hg1 Hg 0.2500 0.2500 0.7500
# DFT formation energy: -0.3881 eV per atom
# total magnetization: 0.00 Bohr magnetons per cell

No. 4
# NiP4W PBE-GGA optimized geometry
data_NiP4W
_space_group_name_H-M_alt 'F -4 3 m'
_space_group_IT_number 216
_space_group_name_Hall 'F -4 2 3'
_cell_length_a 6.8612
_cell_length_b 6.8612
_cell_length_c 6.8612
_cell_angle_alpha 90.00
_cell_angle_beta 90.00
_cell_angle_gamma 90.00
loop_
_atom_site_label
_atom_site_type_symbol
_atom_site_fract_x
_atom_site_fract_y
_atom_site_fract_z
Ni1 Ni 0.0000 0.0000 0.0000
P1 P 0.1247 0.1247 0.6247
W1 W 0.2500 0.2500 0.2500
# DFT formation energy: 0.7922 eV per atom
# total magnetization: 0.00 Bohr magnetons per cell